No. 1
This record from the Open Quantum Materials Database describes a geometry-optimized TmGa2Ir2 structure. The functional is PBE.

Properties
Size of the total moment ... 0.000 μB/cell

Structure (extended XYZ):
```
5
Lattice="-2.1093 2.1093 5.0000 2.1093 -2.1093 5.0000 2.1093 2.1093 -5.0000" Properties=species:S:1:pos:R:3 pbc="T T T"
Tm 0.0000 0.0000 0.0000
Ga 0.0000 0.0000 3.7765
Ga 0.0000 0.0000 6.2235
Ir 2.1093 0.0000 2.5000
Ir 0.0000 2.1093 2.5000
```

No. 2
This record from the Open Quantum Materials Database describes a geometry-optimized TmGa3Ir4 structure. The functional is PBE.

Properties
Size of the total moment ... 0.012 μB/cell

Structure (extended XYZ):
```
8
Lattice="7.0884 -3.2498 0.0000 7.0884 3.2498 0.0000 -0.6046 0.0000 2.8792" Properties=species:S:1:pos:R:3 pbc="T T T"
Tm 0.0000 0.0000 0.0000
Ga 2.4190 0.0000 2.0182
Ga 6.7861 0.0000 1.4396
Ga 11.1533 0.0000 0.8610
Ir 4.5902 1.3360 2.4746
Ir 8.9821 1.3360 0.4047
Ir 4.5902 -1.3360 2.4746
Ir 8.9821 -1.3360 0.4047
```

| no. | E (eV per atom) |
| --- | --- |
| 1 | -6.316 |
| 2 | -6.308 |